Entry 1:
A geometry-optimized RbPI2N structure. Source: Alexandria via LeMat-Bulk, functional PBE.

For the total energy, the calculation gives -8.536 eV for the cell shown. The value obtained for the relative energy among the computed polymorphs is 1910.7 meV per atom. The uncorrected formation energy is 1.853 eV per atom.

The space group is P4/mmm (No. 123) and the conventional cell measures 6.5181, 6.5181 and 4.3315 Å, with angles of 90.00, 90.00 and 90.00 degrees. The asymmetric unit holds Rb at (0.0000, 0.0000, 0.0000), P at (0.5000, 0.5000, 0.5000), I at (0.0000, 0.5000, 0.0000) and N at (0.0000, 0.0000, 0.5000).

***

Entry 2:
A geometry-optimized RePI2N structure. Source: Alexandria via LeMat-Bulk, functional PBE.

For the total energy, the calculation gives -24.932 eV for the cell shown. The value obtained for the relative energy among the computed polymorphs is 0.0 meV per atom. The uncorrected formation energy is 0.870 eV per atom.

The space group is P4/mmm (No. 123) and the conventional cell measures 5.5019, 5.5019 and 3.7624 Å, with angles of 90.00, 90.00 and 90.00 degrees. The asymmetric unit holds Re at (0.0000, 0.0000, 0.0000), P at (0.5000, 0.5000, 0.5000), I at (0.0000, 0.5000, 0.0000) and N at (0.0000, 0.0000, 0.5000).

***

Entry 3:
A geometry-optimized RePI2N structure. Source: Alexandria via LeMat-Bulk, functional PBE.

For the total energy, the calculation gives -21.965 eV for the cell shown. The value obtained for the relative energy among the computed polymorphs is 593.5 meV per atom. The uncorrected formation energy is 1.464 eV per atom.

The space group is P4/mmm (No. 123) and the conventional cell measures 5.3971, 5.3971 and 3.2693 Å, with angles of 90.00, 90.00 and 90.00 degrees. The asymmetric unit holds Re at (0.0000, 0.0000, 0.0000), P at (0.5000, 0.5000, 0.5000), I at (0.0000, 0.5000, 0.5000) and N at (0.5000, 0.5000, 0.0000).

***

Entry 4:
A geometry-optimized PSIN2 structure. Source: Alexandria via LeMat-Bulk, functional PBE.

For the total energy, the calculation gives -18.868 eV for the cell shown. The value obtained for the relative energy among the computed polymorphs is 604.1 meV per atom. The uncorrected formation energy is 1.774 eV per atom.

The space group is P4/mmm (No. 123) and the conventional cell measures 3.6439, 3.6439 and 7.6376 Å, with angles of 90.00, 90.00 and 90.00 degrees. The asymmetric unit holds P at (0.0000, 0.0000, 0.0000), S at (0.5000, 0.5000, 0.5000), I at (0.5000, 0.5000, 0.0000) and N at (0.0000, 0.5000, 0.5000).

***

Asked for M_tot across the records above, the calculation gives 0.00 0.00 0.00 0.49 μB per formula unit in order.